Here is a relaxed structure of Mo2AuBr from the Alexandria database. Energies are from PBE-GGA.

As for the calculated total energy: -5.922 eV per atom. The value obtained for the offset from the most stable computed form is 326 meV per atom. As for the density of states at the Fermi level: 0.73 states/eV per atom.

It has space group Cm (No. 8), with a = 10.1994 Å, b = 2.8825 Å, c = 5.0029 Å, α = 90.00°, β = 105.92° and γ = 90.00°. The asymmetric unit holds Mo at (0.0000, 0.0000, 0.0000), Mo at (0.2484, 0.5000, 0.2378), Au at (0.0032, 0.5000, 0.4856) and Br at (0.2773, 0.0000, 0.8197).